(1)
Below is crystalline FeWCl2 at its relaxed geometry, with properties calculated at the PBE-GGA level.

The structure in POSCAR format:
```
FeWCl2
1.0
-2.713 2.713 4.895
2.713 -2.713 4.895
2.713 2.713 -4.895
Fe W Cl
2 2 4
Direct
0.000 0.000 0.000 Fe
0.750 0.250 0.500 Fe
0.250 0.750 0.500 W
0.500 0.500 0.000 W
0.100 0.625 0.975 Cl
0.375 0.350 0.475 Cl
0.650 0.125 0.025 Cl
0.875 0.900 0.525 Cl
```

Values from the calculation:
Excess energy over the best structure of this formula in the dataset (eV/f.u.): 4.49
Raw formation energy (eV per atom): 0.9852

(2)
Below is crystalline FeWCl at its relaxed geometry, with properties calculated at the PBE-GGA level.

The structure in POSCAR format:
```
FeWCl
1.0
-1.437 1.437 5.555
1.437 -1.437 5.555
1.437 1.437 -5.555
Fe W Cl
1 1 1
Direct
0.000 0.000 0.000 Fe
0.370 0.370 0.000 W
0.705 0.705 0.000 Cl
```

Values from the calculation:
Excess energy over the best structure of this formula in the dataset (eV/f.u.): 0.38
Raw formation energy (eV per atom): 0.5207

(3)
Below is crystalline Fe2WCl at its relaxed geometry, with properties calculated at the PBE-GGA level.

The structure in POSCAR format:
```
Fe2WCl
1.0
4.575 0.000 0.000
0.000 4.575 0.000
0.000 0.000 2.815
Fe W Cl
2 1 1
Direct
0.000 0.500 0.000 Fe
0.500 0.000 0.000 Fe
0.000 0.000 0.500 W
0.500 0.500 0.500 Cl
```

Values from the calculation:
Excess energy over the best structure of this formula in the dataset (eV/f.u.): 2.14
Raw formation energy (eV per atom): 0.8549

Look up the raw formation energy of the third one.
0.8549 eV per atom

Which value of excess energy over the best structure of this formula in the dataset does entry 2 give?
0.38 eV/f.u.